Entry from Alexandria via LeMat-Bulk: a geometry-optimized NiAg2F6 structure (PBE with a Hubbard U).

The electronic total energy is -3.4199 eV/atom. For the energy above the most stable polymorph in this dataset, the calculation gives 0.186 eV/atom.

The structure belongs to space group C2/m (No. 12); the cell edges are 10.049, 3.164 and 9.811 Å and the angles 90.00°, 119.96° and 90.00°. The inequivalent atoms are Ni at (0.000, 0.000, 0.000), Ag at (0.121, 0.000, 0.680), F at (0.002, 0.000, 0.804), F at (0.149, 0.500, 0.082) and F at (0.159, 0.500, 0.555).